1.
Here is a relaxed Dy5YTmSc2 crystal from Alexandria via LeMat-Bulk. Energies are from GGA-PBE.

Summary:
Total magnetization: 0.000 μB per atom
Raw total energy: -4.998 eV/atom
Energy relative to the elements: 0.18 eV/atom

Unit cell a=5.460 b=19.781 c=10.272 alpha=90.00 beta=90.00 gamma=90.00
Space group Cmc2_1 (No. 36)
One atom of each set of equivalent atoms:
Dy 0.000 0.013 0.000 x4
Dy 0.000 0.277 0.295 x4
Dy 0.000 0.302 0.690 x4
Dy 0.000 0.387 0.005 x4
Dy 0.000 0.478 0.721 x4
Y 0.000 0.194 0.994 x4
Tm 0.000 0.410 0.430 x4
Sc 0.000 0.112 0.721 x4
Sc 0.000 0.113 0.292 x4

=====

2.
Here is a relaxed TaBi2Ru crystal from Alexandria via LeMat-Bulk. Energies are from GGA-PBE.

Summary:
Total magnetization: 0.000 μB per atom
Raw total energy: -6.612 eV/atom
Energy relative to the elements: 0.61 eV/atom
Energy above the lowest structure with this stoichiometry: 0.000 eV/atom

Unit cell a=6.929 b=6.929 c=6.929 alpha=90.00 beta=90.00 gamma=90.00
Space group Fm-3m (No. 225)
One atom of each set of equivalent atoms:
Ta 0.000 0.000 0.000 x4
Bi 0.250 0.250 0.250 x8
Ru 0.000 0.000 0.500 x4

=====

3.
Here is a relaxed Ce2Tm2Sn3 crystal from Alexandria via LeMat-Bulk. Energies are from GGA-PBE.

Summary:
Total magnetization: 0.127 μB per atom
Raw total energy: -5.197 eV/atom
Energy relative to the elements: -0.51 eV/atom

Unit cell a=5.462 b=5.901 c=6.758 alpha=64.18 beta=78.74 gamma=89.97
Space group P-1 (No. 2)
One atom of each set of equivalent atoms:
Ce 0.233 0.065 0.369 x2
Tm 0.393 0.357 0.788 x2
Sn 0.000 0.500 0.500 x1
Sn 0.186 0.782 0.936 x2

=====

4.
Here is a relaxed GdTlAg2 crystal from Alexandria via LeMat-Bulk. Energies are from GGA-PBE.

Summary:
Total magnetization: 1.803 μB per atom
Raw total energy: -5.673 eV/atom
Energy relative to the elements: -0.14 eV/atom

Unit cell a=3.805 b=3.805 c=6.620 alpha=90.00 beta=90.00 gamma=90.00
Space group P4/mmm (No. 123)
One atom of each set of equivalent atoms:
Gd 0.000 0.000 0.000 x1
Tl 0.000 0.000 0.500 x1
Ag 0.500 0.500 0.241 x2

=====

5.
Here is a relaxed Na3Np3SbSe8 crystal from Alexandria via LeMat-Bulk. Energies are from GGA-PBE.

Summary:
Total magnetization: 0.733 μB per atom
ΔE_f (raw): -1.037 eV/atom
Raw total energy: -6.022 eV/atom

Unit cell a=8.3569 b=8.3569 c=20.9190 alpha=90.00 beta=90.00 gamma=120.00
Space group R-3m (No. 166, hexagonal axes)
One atom of each set of equivalent atoms:
Na 0.0000 0.5000 0.0000 x9
Np 0.0000 0.5000 0.5000 x9
Sb 0.0000 0.0000 0.5000 x3
Se 0.0000 0.0000 0.2435 x6
Se 0.0032 0.5016 0.7578 x18

=====

6.
Here is a relaxed Ca2Ti2Br2O5 crystal from Alexandria via LeMat-Bulk. Energies are from GGA-PBE.

Summary:
Total magnetization: 0.000 μB per atom
ΔE_f (raw): -2.815 eV/atom
Raw total energy: -7.172 eV/atom

Unit cell a=3.778 b=3.778 c=27.985 alpha=90.00 beta=90.00 gamma=90.00
Space group I4/mmm (No. 139)
One atom of each set of equivalent atoms:
Ca 0.000 0.000 0.135 x4
Ti 0.000 0.000 0.435 x4
Br 0.000 0.000 0.313 x4
O 0.000 0.000 0.500 x2
O 0.000 0.500 0.084 x8

=====

7.
Here is a relaxed Mg4Co3 crystal from Alexandria via LeMat-Bulk. Energies are from GGA-PBE.

Summary:
Total magnetization: 0.561 μB per atom
Raw total energy: -3.858 eV/atom
Energy relative to the elements: 0.10 eV/atom
Energy above the lowest structure with this stoichiometry: 0.014 eV/atom

Unit cell a=4.9361 b=4.9361 c=5.2128 alpha=90.00 beta=90.00 gamma=120.00
Space group P6/mmm (No. 191)
One atom of each set of equivalent atoms:
Mg 0.0000 0.0000 0.2423 x2
Mg 0.3333 0.6667 0.5000 x2
Co 0.0000 0.5000 0.0000 x3

=====

8.
Here is a relaxed LaAlGa2Pd4 crystal from Alexandria via LeMat-Bulk. Energies are from GGA-PBE.

Summary:
Total magnetization: 0.000 μB per atom
Raw total energy: -5.221 eV/atom
Energy relative to the elements: -0.78 eV/atom

Unit cell a=4.3500 b=4.3500 c=26.3613 alpha=90.00 beta=90.00 gamma=120.00
Space group R-3m (No. 166, hexagonal axes)
One atom of each set of equivalent atoms:
La 0.0000 0.0000 0.0000 x3
Al 0.0000 0.0000 0.5000 x3
Ga 0.0000 0.0000 0.2410 x6
Pd 0.0000 0.0000 0.1362 x6
Pd 0.0000 0.0000 0.4048 x6

=====

9.
Here is a relaxed Na4Au2O crystal from Alexandria via LeMat-Bulk. Energies are from GGA-PBE.

Summary:
Total magnetization: 0.000 μB per atom
ΔE_f (raw): -0.637 eV/atom
Raw total energy: -3.035 eV/atom
Energy above the lowest structure with this stoichiometry: 0.000 eV/atom

Unit cell a=4.554 b=4.554 c=15.227 alpha=90.00 beta=90.00 gamma=90.00
Space group I4/mmm (No. 139)
One atom of each set of equivalent atoms:
Na 0.000 0.000 0.151 x4
Na 0.000 0.500 0.000 x4
Au 0.000 0.000 0.349 x4
O 0.000 0.000 0.000 x2

=====

10.
Here is a relaxed ErTh2P3 crystal from Alexandria via LeMat-Bulk. Energies are from GGA-PBE.

Summary:
Total magnetization: 0.000 μB per atom
Raw total energy: -7.500 eV/atom
Energy relative to the elements: -1.56 eV/atom

Unit cell a=7.089 b=12.263 c=7.073 alpha=90.00 beta=109.48 gamma=90.00
Space group C2/m (No. 12)
One atom of each set of equivalent atoms:
Er 0.000 0.167 0.000 x4
Th 0.000 0.000 0.500 x2
Th 0.000 0.334 0.500 x4
Th 0.000 0.500 0.000 x2
P 0.241 0.000 0.242 x4
P 0.249 0.170 0.757 x8

=====

11.
Here is a relaxed SrCaMg2 crystal from Alexandria via LeMat-Bulk. Energies are from GGA-PBE.

Summary:
Total magnetization: 0.000 μB per atom
Raw total energy: -1.633 eV/atom
Energy relative to the elements: 0.09 eV/atom

Unit cell a=11.391 b=3.829 c=6.765 alpha=90.00 beta=100.59 gamma=90.00
Space group C2/m (No. 12)
One atom of each set of equivalent atoms:
Sr 0.000 0.000 0.000 x2
Ca 0.000 0.500 0.500 x2
Mg 0.248 0.000 0.709 x4

=====

12.
Here is a relaxed BH4Se crystal from Alexandria via LeMat-Bulk. Energies are from GGA-PBE.

Summary:
Total magnetization: 0.000 μB per atom
Raw total energy: -3.804 eV/atom
Energy above the lowest structure with this stoichiometry: 0.000 eV/atom

Unit cell a=4.559 b=4.891 c=5.020 alpha=71.76 beta=64.59 gamma=63.80
Space group P1 (No. 1)
One atom of each set of equivalent atoms:
B 0.000 0.000 0.000 x1
H 0.234 0.094 0.899 x1
H 0.399 0.658 0.351 x1
H 0.593 0.658 0.352 x1
H 0.769 0.098 0.903 x1
Se 0.996 0.676 0.332 x1